# 1
## KSrN (PBE)

Data for an optimized crystal structure of KSrN. Values from VASP.

```
&SYSTEM
  ibrav = 0, nat = 3, ntyp = 3
/
ATOMIC_SPECIES
Sr 87.62 Sr.upf
N 14.01 N.upf
K 39.10 K.upf
CELL_PARAMETERS angstrom
4.0688 0.0000 0.0000
2.0344 3.5228 0.0037
2.0344 1.1615 6.8691
ATOMIC_POSITIONS angstrom
Sr 4.0688 1.4172 2.9974
N 4.0688 3.7674 2.1005
K 2.0344 2.5930 0.3633
```

Computed properties:
- Magnetization: 0.063 μB per atom
- Formation energy (no corrections): -0.028 eV per atom
- Total energy: -11.2 eV per formula unit
- DOS(E_F): 3.422 states/eV per cell


# 2
## Cs4Sm3HoTe8 (PBE)

Data for an optimized crystal structure of Cs4Sm3HoTe8. Values from VASP.

```
&SYSTEM
  ibrav = 0, nat = 16, ntyp = 4
/
ATOMIC_SPECIES
Te 127.60 Te.upf
Sm 150.36 Sm.upf
Ho 164.93 Ho.upf
Cs 132.91 Cs.upf
CELL_PARAMETERS angstrom
9.2166 0.0000 0.0000
0.0000 10.3701 0.8101
-4.6083 -4.6092 6.5179
ATOMIC_POSITIONS angstrom
Te 4.6083 0.6930 3.7963
Te 4.6083 5.0613 3.5773
Te -2.3397 2.7277 6.8408
Te 0.0000 5.0679 3.5317
Sm -2.3042 2.8804 3.6640
Ho 0.0000 5.1850 0.4050
Cs 2.3042 -2.3046 3.2590
Te 0.0000 0.6995 3.7507
Te 2.2686 3.0332 0.4872
Te 2.3397 2.7277 6.8408
Sm 2.3042 2.8804 3.6640
Sm 4.6083 5.1850 0.4050
Cs -2.3042 -2.3046 3.2590
Te 6.9480 3.0332 0.4872
Cs 4.6083 0.0000 0.0000
Cs 0.0000 0.0000 0.0000
```

Computed properties:
- Magnetization: 0.000 μB per atom
- Formation energy (no corrections): -1.399 eV per atom
- Total energy: -69.7 eV per formula unit


# 3
## K4AgI2 (PBE)

Data for an optimized crystal structure of K4AgI2. Values from VASP.

```
&SYSTEM
  ibrav = 0, nat = 7, ntyp = 3
/
ATOMIC_SPECIES
K 39.10 K.upf
Ag 107.87 Ag.upf
I 126.90 I.upf
CELL_PARAMETERS angstrom
-6.0837 -0.8233 -1.6871
0.4029 -6.1611 1.5539
0.2188 5.4626 8.5589
ATOMIC_POSITIONS angstrom
K -3.0419 -0.4117 -0.8435
K -4.4615 -2.2738 5.1844
K -1.0006 0.7520 3.2413
Ag 0.0000 0.0000 0.0000
I -1.9879 1.4941 6.4394
I -3.4741 -3.0159 1.9862
K 0.2014 -3.0805 0.7769
```

Computed properties:
- Magnetization: 0.000 μB per atom
- Formation energy (no corrections): -0.663 eV per atom
- Total energy: -15.0 eV per formula unit
- DOS(E_F): 4.015 states/eV per cell


# 4
## TaHgIrO6 (PBE)

Data for an optimized crystal structure of TaHgIrO6. Values from VASP.

```
&SYSTEM
  ibrav = 0, nat = 18, ntyp = 4
/
ATOMIC_SPECIES
Hg 200.59 Hg.upf
O 16.00 O.upf
Ta 180.95 Ta.upf
Ir 192.22 Ir.upf
CELL_PARAMETERS angstrom
-6.0054 -2.2584 -3.7665
-0.2196 -6.0381 3.9705
0.0286 6.5477 3.3763
ATOMIC_POSITIONS angstrom
Hg -4.9177 -1.1914 1.2074
O -3.5075 -1.9464 4.1118
O -4.8583 1.8668 -0.7210
O -1.3435 -1.1326 5.4690
Ta -2.9884 2.1446 -0.1951
O -3.3749 1.6993 1.7144
O -2.7368 0.5772 4.0176
Ir -3.0027 -1.1292 -1.8832
Ta 0.0143 3.2738 1.6882
Hg -1.2787 -0.5573 2.3730
O -2.8215 -3.4481 1.8660
Ir -3.1125 -4.1482 0.1020
O -4.9854 -4.2619 0.5088
O -4.8529 -0.6162 -1.8886
O -1.3381 -3.6156 4.3014
O -2.6889 0.1976 -0.5314
O -3.4595 -2.3260 -0.4372
O -1.2109 2.5131 3.0716
```

Computed properties:
- Magnetization: 0.000 μB per atom
- Formation energy (no corrections): -1.276 eV per atom
- Total energy: -62.2 eV per formula unit
- DOS(E_F): 10.922 states/eV per cell